Below is an optimized crystal structure of Nb12V3Ga5, with properties calculated at the GGA-PBE level.

energy	-7.361	eV per atom
calculated formation energy	0.81	eV/atom
magnetization	0.00	μB per formula unit

Cell: 13.078 13.078 13.078 Å, 109.47 109.47 109.47°
Fractional coordinates of all 80 atoms:
Nb 0.406 0.139 0.570
Nb 0.570 0.931 0.664
Nb 0.234 0.569 0.639
Nb 0.906 0.836 0.766
Nb 0.664 0.234 0.594
Nb 0.094 0.930 0.361
Nb 0.266 0.406 0.836
Nb 0.336 0.766 0.406
Nb 0.234 0.664 0.094
Nb 0.664 0.431 0.570
Nb 0.164 0.070 0.931
Nb 0.139 0.406 0.070
Nb 0.861 0.266 0.431
Nb 0.164 0.094 0.734
Nb 0.931 0.570 0.164
Nb 0.931 0.361 0.266
Nb 0.069 0.430 0.836
Nb 0.569 0.234 0.139
Nb 0.336 0.569 0.430
Nb 0.266 0.861 0.931
Nb 0.361 0.931 0.766
Nb 0.906 0.070 0.639
Nb 0.569 0.336 0.930
Nb 0.639 0.069 0.234
Nb 0.070 0.164 0.431
Nb 0.930 0.094 0.861
Nb 0.836 0.930 0.069
Nb 0.431 0.766 0.861
Nb 0.570 0.639 0.406
Nb 0.930 0.836 0.569
Nb 0.594 0.734 0.664
Nb 0.406 0.266 0.336
Nb 0.734 0.594 0.164
Nb 0.766 0.431 0.361
Nb 0.639 0.570 0.906
Nb 0.734 0.139 0.069
Nb 0.766 0.336 0.906
Nb 0.361 0.430 0.094
Nb 0.836 0.906 0.266
Nb 0.431 0.664 0.070
Nb 0.069 0.639 0.734
Nb 0.070 0.906 0.139
Nb 0.861 0.594 0.930
Nb 0.594 0.861 0.430
Nb 0.430 0.361 0.594
Nb 0.139 0.734 0.569
Nb 0.430 0.069 0.336
Nb 0.094 0.164 0.234
Ga 0.500 0.000 0.000
Ga 0.000 0.000 0.000
Ga 0.625 0.875 0.250
Ga 0.250 0.375 0.625
Ga 0.125 0.750 0.375
Ga 0.000 0.000 0.500
Ga 0.250 0.875 0.125
Ga 0.000 0.500 0.000
Ga 0.750 0.625 0.375
Ga 0.000 0.500 0.500
Ga 0.625 0.750 0.875
Ga 0.500 0.500 0.000
Ga 0.375 0.250 0.125
Ga 0.375 0.125 0.750
Ga 0.875 0.625 0.750
Ga 0.125 0.375 0.250
Ga 0.750 0.125 0.875
Ga 0.500 0.500 0.500
Ga 0.500 0.000 0.500
Ga 0.875 0.250 0.625
V 0.250 0.625 0.875
V 0.375 0.750 0.625
V 0.125 0.250 0.875
V 0.875 0.750 0.125
V 0.875 0.125 0.250
V 0.750 0.375 0.125
V 0.625 0.250 0.375
V 0.625 0.375 0.750
V 0.250 0.125 0.375
V 0.375 0.625 0.250
V 0.125 0.875 0.750
V 0.750 0.875 0.625